1.
This record from Alexandria via LeMat-Bulk describes crystalline Ir12Ru6Rh at its relaxed geometry. The functional is PBE-GGA.

Cell lengths 6.5557, 6.5557, 6.5557 Å; angles 89.99, 89.99, 89.99 degrees
Atoms (fractional coordinates):
Ir  0.0196  0.2985  0.9376
Ir  0.0624  0.9804  0.7015
Ir  0.1290  0.3380  0.4635
Ir  0.2985  0.9376  0.0196
Ir  0.3380  0.4635  0.1290
Ir  0.4635  0.1290  0.3380
Ir  0.5365  0.8710  0.6620
Ir  0.6620  0.5365  0.8710
Ir  0.7015  0.0624  0.9804
Ir  0.8710  0.6620  0.5365
Ir  0.9376  0.0196  0.2985
Ir  0.9804  0.7015  0.0624
Ru  0.2152  0.6094  0.7616
Ru  0.2384  0.7848  0.3906
Ru  0.3906  0.2384  0.7848
Ru  0.6094  0.7616  0.2152
Ru  0.7616  0.2152  0.6094
Ru  0.7848  0.3906  0.2384
Rh  0.5000  0.5000  0.5000

Computed properties:
**ΔH_f (0 K)**: 0.23 eV per atom
**N(E_F)**: 20.3 states/eV/cell
**Symmetry**: R-3 (148)
**M_tot**: 0.0 Bohr magnetons per cell

---

2.
This record from Alexandria via LeMat-Bulk describes crystalline Ir6RuRh5 at its relaxed geometry. The functional is PBE-GGA.

Cell lengths 7.2123, 7.2123, 7.2123 Å; angles 149.04, 115.30, 73.44 degrees
Atoms (fractional coordinates):
Ir  0.0821  0.3335  0.7486
Ir  0.2474  0.0000  0.2474
Ir  0.4152  0.6665  0.7486
Ir  0.5848  0.3335  0.2514
Ir  0.7526  0.0000  0.7526
Ir  0.9179  0.6665  0.2514
Ru  0.0000  0.5000  0.5000
Rh  0.1647  0.1647  0.0000
Rh  0.3352  0.8352  0.5000
Rh  0.5000  0.5000  0.0000
Rh  0.6648  0.1648  0.5000
Rh  0.8353  0.8353  0.0000

Computed properties:
**ΔH_f (0 K)**: -0.01 eV per atom
**N(E_F)**: 12.2 states/eV/cell
**Symmetry**: Immm (71)
**M_tot**: 0.0 Bohr magnetons per cell

---

3.
This record from Alexandria via LeMat-Bulk describes crystalline Ir3Ru2Rh2 at its relaxed geometry. The functional is PBE-GGA.

Cell lengths 9.7545, 9.7545, 2.7133 Å; angles 90.00, 90.00, 156.87 degrees
Atoms (fractional coordinates):
Ir  0.0000  0.0000  0.0000
Ir  0.4288  0.5712  0.5000
Ir  0.5712  0.4288  0.5000
Ru  0.1415  0.8585  0.0000
Ru  0.8585  0.1415  0.0000
Rh  0.2920  0.7080  0.5000
Rh  0.7080  0.2920  0.5000

Computed properties:
**ΔH_f (0 K)**: 0.10 eV per atom
**N(E_F)**: 8.6 states/eV/cell
**Symmetry**: Cmmm (65)
**Distance to the lowest polymorph of the same formula**: 0.000 eV/atom
**M_tot**: 0.0 Bohr magnetons per cell

---

4.
This record from Alexandria via LeMat-Bulk describes crystalline Ir6RuRh4 at its relaxed geometry. The functional is PBE-GGA.

Cell lengths 7.3652, 7.3652, 7.3652 Å; angles 138.56, 138.56, 60.05 degrees
Atoms (fractional coordinates):
Ir  0.0000  0.5000  0.5000
Ir  0.1759  0.1759  0.6292
Ir  0.4533  0.8241  0.0000
Ir  0.5000  0.0000  0.5000
Ir  0.5467  0.5467  0.3708
Ir  0.8241  0.4533  0.0000
Ru  0.0000  0.0000  0.0000
Rh  0.0317  0.6412  0.0000
Rh  0.3588  0.3588  0.3905
Rh  0.6412  0.0317  0.0000
Rh  0.9683  0.9683  0.6095

Computed properties:
**ΔH_f (0 K)**: 0.40 eV per atom
**N(E_F)**: 12.8 states/eV/cell
**Symmetry**: I-42m (121)
**M_tot**: 0.0 Bohr magnetons per cell

---

5.
This record from Alexandria via LeMat-Bulk describes crystalline IrRu2Rh5 at its relaxed geometry. The functional is PBE-GGA.

Cell lengths 5.4225, 10.8511, 3.8465 Å; angles 90.00, 90.00, 90.00 degrees
Atoms (fractional coordinates):
Ir  0.0000  0.0000  0.0000
Ir  0.5000  0.5000  0.0000
Ru  0.2474  0.1245  0.5000
Ru  0.2526  0.6245  0.5000
Ru  0.7474  0.3755  0.5000
Ru  0.7526  0.8755  0.5000
Rh  0.0000  0.5000  0.0000
Rh  0.0010  0.7517  0.0000
Rh  0.2496  0.3755  0.5000
Rh  0.2504  0.8755  0.5000
Rh  0.4990  0.2517  0.0000
Rh  0.5000  0.0000  0.0000
Rh  0.5010  0.7483  0.0000
Rh  0.7496  0.1245  0.5000
Rh  0.7504  0.6245  0.5000
Rh  0.9990  0.2483  0.0000

Computed properties:
**ΔH_f (0 K)**: 0.03 eV per atom
**N(E_F)**: 18.3 states/eV/cell
**Symmetry**: Pbam (55)
**M_tot**: 0.0 Bohr magnetons per cell

---

6.
This record from Alexandria via LeMat-Bulk describes crystalline Ir4RuRh3 at its relaxed geometry. The functional is PBE-GGA.

Cell lengths 4.7232, 4.7232, 7.7008 Å; angles 114.08, 114.08, 48.11 degrees
Atoms (fractional coordinates):
Ir  0.2490  0.2490  0.1234
Ir  0.2508  0.2508  0.6266
Ir  0.7492  0.7492  0.3734
Ir  0.7510  0.7510  0.8766
Ru  0.5000  0.5000  0.0000
Rh  0.0007  0.0007  0.2477
Rh  0.5000  0.5000  0.5000
Rh  0.9993  0.9993  0.7523

Computed properties:
**ΔH_f (0 K)**: -0.01 eV per atom
**N(E_F)**: 8.5 states/eV/cell
**Symmetry**: C2/m (12)
**Distance to the lowest polymorph of the same formula**: 0.000 eV/atom
**M_tot**: 0.0 Bohr magnetons per cell

---

7.
This record from Alexandria via LeMat-Bulk describes crystalline Ir3Ru2Rh3 at its relaxed geometry. The functional is PBE-GGA.

Cell lengths 3.8441, 3.8572, 7.6772 Å; angles 90.00, 90.00, 90.00 degrees
Atoms (fractional coordinates):
Ir  0.0000  0.0000  0.0000
Ir  0.0000  0.0000  0.5000
Ir  0.5000  0.5000  0.0000
Ru  0.5000  0.0000  0.2497
Ru  0.5000  0.0000  0.7503
Rh  0.0000  0.5000  0.2493
Rh  0.0000  0.5000  0.7507
Rh  0.5000  0.5000  0.5000

Computed properties:
**ΔH_f (0 K)**: 0.00 eV per atom
**N(E_F)**: 11.8 states/eV/cell
**Symmetry**: Pmmm (47)
**Distance to the lowest polymorph of the same formula**: 0.000 eV/atom
**M_tot**: 0.0 Bohr magnetons per cell

---

8.
This record from Alexandria via LeMat-Bulk describes crystalline Ir6Ru3Rh2 at its relaxed geometry. The functional is PBE-GGA.

Cell lengths 4.6934, 6.0977, 6.7581 Å; angles 63.91, 75.72, 74.14 degrees
Atoms (fractional coordinates):
Ir  0.1052  0.0032  0.1634
Ir  0.2074  0.7646  0.5749
Ir  0.2239  0.4977  0.3374
Ir  0.7761  0.5023  0.6626
Ir  0.7926  0.2354  0.4251
Ir  0.8948  0.9968  0.8366
Ru  0.0000  0.5000  0.0000
Ru  0.3344  0.2538  0.7505
Ru  0.6656  0.7462  0.2495
Rh  0.4512  0.7548  0.9039
Rh  0.5488  0.2452  0.0961

Computed properties:
**ΔH_f (0 K)**: 0.16 eV per atom
**N(E_F)**: 10.9 states/eV/cell
**Symmetry**: P-1 (2)
**M_tot**: 0.0 Bohr magnetons per cell

---

9.
This record from Alexandria via LeMat-Bulk describes crystalline Ir8Ru6Rh at its relaxed geometry. The functional is PBE-GGA.

Cell lengths 6.6773, 6.6773, 6.6773 Å; angles 64.83, 64.83, 64.83 degrees
Atoms (fractional coordinates):
Ir  0.0684  0.6867  0.3605
Ir  0.2350  0.2350  0.2350
Ir  0.3133  0.6395  0.9316
Ir  0.3605  0.0684  0.6867
Ir  0.6395  0.9316  0.3133
Ir  0.6867  0.3605  0.0684
Ir  0.7650  0.7650  0.7650
Ir  0.9316  0.3133  0.6395
Ru  0.1306  0.4151  0.8362
Ru  0.1638  0.8694  0.5849
Ru  0.4151  0.8362  0.1306
Ru  0.5849  0.1638  0.8694
Ru  0.8362  0.1306  0.4151
Ru  0.8694  0.5849  0.1638
Rh  0.5000  0.5000  0.5000

Computed properties:
**ΔH_f (0 K)**: 0.34 eV per atom
**N(E_F)**: 17.5 states/eV/cell
**Symmetry**: R-3 (148)
**M_tot**: 0.0 Bohr magnetons per cell

---

10.
This record from Alexandria via LeMat-Bulk describes crystalline Ir4Ru3Rh at its relaxed geometry. The functional is PBE-GGA.

Cell lengths 9.2784, 9.2784, 4.7247 Å; angles 104.67, 104.67, 16.88 degrees
Atoms (fractional coordinates):
Ir  0.1251  0.1251  0.2926
Ir  0.3734  0.3734  0.2080
Ir  0.6266  0.6266  0.7920
Ir  0.8749  0.8749  0.7074
Ru  0.2504  0.2504  0.7525
Ru  0.5000  0.5000  0.0000
Ru  0.7496  0.7496  0.2475
Rh  0.0000  0.0000  0.5000

Computed properties:
**ΔH_f (0 K)**: 0.00 eV per atom
**N(E_F)**: 8.7 states/eV/cell
**Symmetry**: C2/m (12)
**Distance to the lowest polymorph of the same formula**: 0.000 eV/atom
**M_tot**: 0.0 Bohr magnetons per cell

---

11.
This record from Alexandria via LeMat-Bulk describes crystalline Ir2RuRh8 at its relaxed geometry. The functional is PBE-GGA.

Cell lengths 7.1175, 7.1175, 7.1175 Å; angles 148.88, 116.23, 72.66 degrees
Atoms (fractional coordinates):
Ir  0.1696  0.1696  0.0000
Ir  0.8304  0.8304  0.0000
Ru  0.5000  0.5000  0.0000
Rh  0.0826  0.3387  0.7439
Rh  0.2411  0.0000  0.2411
Rh  0.3324  0.8324  0.5000
Rh  0.4053  0.6613  0.7439
Rh  0.5947  0.3387  0.2561
Rh  0.6676  0.1676  0.5000
Rh  0.7589  0.0000  0.7589
Rh  0.9174  0.6613  0.2561

Computed properties:
**ΔH_f (0 K)**: 0.15 eV per atom
**N(E_F)**: 14.1 states/eV/cell
**Symmetry**: Immm (71)
**M_tot**: 0.0 Bohr magnetons per cell